i:
The following is a DFT calculation (PBE) of crystalline EuErPb at its relaxed geometry.

abc: 5.413 5.413 3.809
angles: 90.00 90.00 120.00
Fractional positions:
Eu  0.000  0.000  0.000
Er  0.667  0.333  0.501
Pb  0.333  0.667  0.498

Computed properties:
For the size of the total moment, the calculation gives 7.70 μB/cell.

---

ii:
The following is a DFT calculation (PBE) of crystalline EuErPb at its relaxed geometry.

abc: 7.533 7.533 7.533
angles: 90.00 90.00 90.00
Fractional positions:
Eu  0.000  0.000  0.000
Eu  0.000  0.500  0.500
Eu  0.500  0.000  0.500
Eu  0.500  0.500  0.000
Er  0.000  0.000  0.500
Er  0.000  0.500  0.000
Er  0.500  0.000  0.000
Er  0.500  0.500  0.500
Pb  0.250  0.250  0.250
Pb  0.250  0.750  0.750
Pb  0.750  0.250  0.750
Pb  0.750  0.750  0.250

Computed properties:
For the size of the total moment, the calculation gives 30.89 μB/cell.

---

Which structure is the least stable? The one labeled ii.

---

i:
The following is a DFT calculation (PBE) of crystalline EuEr2Pb at its relaxed geometry.

abc: 3.622 3.622 9.624
angles: 90.00 90.00 90.00
Fractional positions:
Eu  0.000  0.000  0.000
Er  0.500  0.500  0.280
Er  0.500  0.500  0.720
Pb  0.000  0.000  0.500

Computed properties:
For the size of the total moment, the calculation gives 7.53 μB/cell.

---

ii:
The following is a DFT calculation (PBE) of crystalline EuEr2Pb at its relaxed geometry.

abc: 4.946 4.946 4.822
angles: 90.00 90.00 90.00
Fractional positions:
Eu  0.000  0.000  0.000
Er  0.000  0.500  0.500
Er  0.500  0.000  0.500
Pb  0.500  0.500  0.000

Computed properties:
For the size of the total moment, the calculation gives 7.92 μB/cell.

---

Which structure is the least stable? The one labeled i.

---

i:
The following is a DFT calculation (PBE) of crystalline EuEr2Pd at its relaxed geometry.

abc: 4.004 4.004 28.023
angles: 90.00 90.00 120.00
Fractional positions:
Eu  0.000  0.000  0.000
Eu  0.333  0.667  0.667
Eu  0.667  0.333  0.333
Er  0.000  0.000  0.222
Er  0.000  0.000  0.778
Er  0.333  0.667  0.445
Er  0.333  0.667  0.889
Er  0.667  0.333  0.111
Er  0.667  0.333  0.555
Pd  0.000  0.000  0.500
Pd  0.333  0.667  0.167
Pd  0.667  0.333  0.833

Computed properties:
For the size of the total moment, the calculation gives 24.38 μB/cell.

---

ii:
The following is a DFT calculation (PBE) of crystalline EuEr2Pd at its relaxed geometry.

abc: 3.547 3.547 8.945
angles: 90.00 90.00 90.00
Fractional positions:
Eu  0.000  0.000  0.000
Er  0.500  0.500  0.316
Er  0.500  0.500  0.684
Pd  0.000  0.000  0.500

Computed properties:
For the size of the total moment, the calculation gives 7.91 μB/cell.

---

Which structure is the least stable? The one labeled i.

---

i:
The following is a DFT calculation (PBE) of crystalline EuErPd at its relaxed geometry.

abc: 3.592 3.592 12.704
angles: 90.00 90.00 90.00
Fractional positions:
Eu  0.000  0.000  0.000
Eu  0.500  0.500  0.500
Er  0.000  0.000  0.269
Er  0.500  0.500  0.769
Pd  0.000  0.000  0.660
Pd  0.500  0.500  0.160

Computed properties:
For the size of the total moment, the calculation gives 14.89 μB/cell.

---

ii:
The following is a DFT calculation (PBE) of crystalline EuErPd at its relaxed geometry.

abc: 7.022 7.022 7.022
angles: 90.00 90.00 90.00
Fractional positions:
Eu  0.000  0.000  0.000
Eu  0.000  0.500  0.500
Eu  0.500  0.000  0.500
Eu  0.500  0.500  0.000
Er  0.000  0.000  0.500
Er  0.000  0.500  0.000
Er  0.500  0.000  0.000
Er  0.500  0.500  0.500
Pd  0.250  0.250  0.250
Pd  0.250  0.750  0.750
Pd  0.750  0.250  0.750
Pd  0.750  0.750  0.250

Computed properties:
For the size of the total moment, the calculation gives 28.86 μB/cell.

---

Which structure is the least stable? The one labeled ii.

---

i:
The following is a DFT calculation (PBE) of crystalline Eu2ErPd at its relaxed geometry.

abc: 3.710 3.710 32.411
angles: 90.00 90.00 120.00
Fractional positions:
Eu  0.000  0.000  0.105
Eu  0.000  0.000  0.895
Eu  0.333  0.667  0.562
Eu  0.333  0.667  0.772
Eu  0.667  0.333  0.228
Eu  0.667  0.333  0.438
Er  0.000  0.000  0.000
Er  0.333  0.667  0.667
Er  0.667  0.333  0.333
Pd  0.000  0.000  0.500
Pd  0.333  0.667  0.167
Pd  0.667  0.333  0.833

Computed properties:
For the size of the total moment, the calculation gives 44.40 μB/cell.

---

ii:
The following is a DFT calculation (PBE) of crystalline Eu2ErPd at its relaxed geometry.

abc: 3.667 3.667 8.884
angles: 90.00 90.00 90.00
Fractional positions:
Eu  0.000  0.000  0.196
Eu  0.000  0.000  0.804
Er  0.500  0.500  0.500
Pd  0.500  0.500  0.000

Computed properties:
For the size of the total moment, the calculation gives 15.16 μB/cell.

---

Which structure is the least stable? The one labeled i.

---

i:
The following is a DFT calculation (PBE) of crystalline Pr2EuEr at its relaxed geometry.

abc: 3.697 3.697 10.455
angles: 90.00 90.00 90.00
Fractional positions:
Pr  0.000  0.000  0.235
Pr  0.000  0.000  0.765
Eu  0.500  0.500  0.500
Er  0.500  0.500  0.000

Computed properties:
For the size of the total moment, the calculation gives 7.17 μB/cell.

---

ii:
The following is a DFT calculation (PBE) of crystalline Pr2EuEr at its relaxed geometry.

abc: 8.297 8.297 8.297
angles: 90.00 90.00 90.00
Fractional positions:
Pr  0.250  0.250  0.250
Pr  0.250  0.250  0.750
Pr  0.250  0.750  0.250
Pr  0.250  0.750  0.750
Pr  0.750  0.250  0.250
Pr  0.750  0.250  0.750
Pr  0.750  0.750  0.250
Pr  0.750  0.750  0.750
Eu  0.000  0.000  0.000
Eu  0.000  0.500  0.500
Eu  0.500  0.000  0.500
Eu  0.500  0.500  0.000
Er  0.000  0.000  0.500
Er  0.000  0.500  0.000
Er  0.500  0.000  0.000
Er  0.500  0.500  0.500

Computed properties:
For the size of the total moment, the calculation gives 30.42 μB/cell.

---

iii:
The following is a DFT calculation (PBE) of crystalline Pr2EuEr at its relaxed geometry.

abc: 5.233 5.233 5.161
angles: 90.00 90.00 90.00
Fractional positions:
Pr  0.000  0.500  0.000
Pr  0.500  0.000  0.000
Eu  0.000  0.000  0.500
Er  0.500  0.500  0.500

Computed properties:
For the size of the total moment, the calculation gives 7.11 μB/cell.

---

iv:
The following is a DFT calculation (PBE) of crystalline Pr2EuEr at its relaxed geometry.

abc: 3.686 3.686 36.257
angles: 90.00 90.00 120.00
Fractional positions:
Pr  0.000  0.000  0.246
Pr  0.000  0.000  0.754
Pr  0.333  0.667  0.421
Pr  0.333  0.667  0.912
Pr  0.667  0.333  0.088
Pr  0.667  0.333  0.579
Eu  0.000  0.000  0.000
Eu  0.333  0.667  0.667
Eu  0.667  0.333  0.333
Er  0.000  0.000  0.500
Er  0.333  0.667  0.167
Er  0.667  0.333  0.833

Computed properties:
For the size of the total moment, the calculation gives 22.24 μB/cell.

---

Which structure is the least stable? The one labeled ii.